First-principles (PBE) data for a geometry-optimized Na3CaHg4 structure, as listed in Alexandria.

## Properties
**D(E_F)**: 8.6 states/eV/cell
**Energy**: -19.20 eV/cell

Unit cell a=10.6833 b=7.3522 c=5.3385 alpha=90.00 beta=90.00 gamma=90.00
Closest atoms and distances in Å follow each position.
Fractional coordinates of all 16 atoms:
Na1 0.0000 0.0000 0.0000  8 Hg 3.23
Na2 0.2500 0.0000 0.4934  8 Hg 3.23
Na3 0.2500 0.5000 0.4951  8 Hg 3.24-3.26
Na4 0.5000 0.0000 0.0000  8 Hg 3.23
Na5 0.7500 0.0000 0.5066  8 Hg 3.23
Na6 0.7500 0.5000 0.5049  8 Hg 3.24-3.26
Ca1 0.0000 0.5000 0.0000  8 Hg 3.25
Ca2 0.5000 0.5000 0.0000  8 Hg 3.25
Hg1 0.0000 0.2472 0.5000  6 Na 3.23-3.25, 2 Ca 3.25
Hg2 0.0000 0.7528 0.5000  6 Na 3.23-3.25, 2 Ca 3.25
Hg3 0.2500 0.2473 0.9930  6 Na 3.23-3.26, 2 Ca 3.25
Hg4 0.2500 0.7527 0.9930  6 Na 3.23-3.26, 2 Ca 3.25
Hg5 0.5000 0.2472 0.5000  6 Na 3.23-3.25, 2 Ca 3.25
Hg6 0.5000 0.7528 0.5000  6 Na 3.23-3.25, 2 Ca 3.25
Hg7 0.7500 0.2473 0.0070  6 Na 3.23-3.26, 2 Ca 3.25
Hg8 0.7500 0.7527 0.0070  6 Na 3.23-3.26, 2 Ca 3.25